(1)
{"formula": "ZrCuTcAs", "functional": "PBE", "state": "optimized geometry", "cell": [[0.701, -4.468, -0.064], [-0.603, -2.438, 3.761], [-3.503, -2.844, 0.314]], "species": ["As", "Cu", "Tc", "Zr"], "frac_coords": [[0.000, 0.000, 0.000], [0.750, 0.750, 0.750], [0.500, 0.500, 0.500], [0.250, 0.250, 0.250]], "de_polymorph_ev_per_atom": 0.1762, "dft_energy_ev_per_cell": -26.68, "spacegroup": "F-43m", "vol_a3_per_cell": 65}

(2)
{"formula": "ZrCuTcAs", "functional": "PBE", "state": "optimized geometry", "cell": [[-4.378, -0.878, -0.314], [-2.976, 2.754, 1.894], [-2.619, 2.569, -2.564]], "species": ["Tc", "Cu", "Zr", "As"], "frac_coords": [[0.250, 0.250, 0.250], [0.750, 0.750, 0.750], [0.500, 0.500, 0.500], [0.000, 0.000, 0.000]], "de_polymorph_ev_per_atom": 0.0000, "dft_energy_ev_per_cell": -27.39, "spacegroup": "F-43m", "vol_a3_per_cell": 63}

(3)
{"formula": "Cu2TeAs2", "functional": "PBE", "state": "optimized geometry", "cell": [[2.915, -4.066, 3.110], [2.208, 1.629, 5.212], [-5.169, 0.392, -2.799]], "species": ["As", "As", "Te", "Cu", "Cu"], "frac_coords": [[0.624, 0.624, 0.000], [0.376, 0.376, 0.000], [0.000, 0.000, 0.000], [0.250, 0.750, 0.500], [0.750, 0.250, 0.500]], "dft_energy_ev_per_cell": -18.59, "spacegroup": "I4/mmm", "vol_a3_per_cell": 94}

(4)
{"formula": "CuTeAsW", "functional": "PBE", "state": "optimized geometry", "cell": [[0.000, 3.271, 3.271], [3.271, 0.000, 3.271], [3.271, 3.271, 0.000]], "species": ["Cu", "As", "Te", "W"], "frac_coords": [[0.750, 0.750, 0.750], [0.000, 0.000, 0.000], [0.500, 0.500, 0.500], [0.250, 0.250, 0.250]], "de_polymorph_ev_per_atom": 0.0000, "dft_energy_ev_per_cell": -22.07, "spacegroup": "F-43m", "vol_a3_per_cell": 70}

(5)
{"formula": "CuTeAsW", "functional": "PBE", "state": "optimized geometry", "cell": [[-4.509, -0.890, 0.815], [-2.274, 2.337, 3.340], [-3.246, 3.149, -1.152]], "species": ["As", "Cu", "Te", "W"], "frac_coords": [[0.500, 0.500, 0.500], [0.750, 0.750, 0.750], [0.250, 0.250, 0.250], [0.000, 0.000, 0.000]], "de_polymorph_ev_per_atom": 0.3571, "dft_energy_ev_per_cell": -20.64, "spacegroup": "F-43m", "vol_a3_per_cell": 72}

(6)
{"formula": "CuTeAsW", "functional": "PBE", "state": "optimized geometry", "cell": [[-2.763, 0.715, 3.670], [-4.214, 1.873, -0.593], [-3.805, -2.605, 0.587]], "species": ["Cu", "Te", "W", "As"], "frac_coords": [[0.750, 0.750, 0.750], [0.500, 0.500, 0.500], [0.000, 0.000, 0.000], [0.250, 0.250, 0.250]], "de_polymorph_ev_per_atom": 0.3554, "dft_energy_ev_per_cell": -20.65, "spacegroup": "F-43m", "vol_a3_per_cell": 71}

(7)
{"formula": "TlCuAs2", "functional": "PBE", "state": "optimized geometry", "cell": [[0.000, 3.426, 3.426], [3.426, 0.000, 3.426], [3.426, 3.426, 0.000]], "species": ["Cu", "As", "As", "Tl"], "frac_coords": [[0.250, 0.250, 0.250], [0.000, 0.000, 0.000], [0.750, 0.750, 0.750], [0.500, 0.500, 0.500]], "dft_energy_ev_per_cell": -13.54, "spacegroup": "F-43m", "vol_a3_per_cell": 80}

(8)
{"formula": "TmCuAs", "functional": "PBE", "state": "optimized geometry", "cell": [[-3.466, -2.572, 0.534], [-3.992, 1.723, 0.096], [-2.739, -0.673, -3.310]], "species": ["Tm", "As", "Cu"], "frac_coords": [[0.750, 0.750, 0.750], [0.250, 0.250, 0.250], [0.000, 0.000, 0.000]], "dft_energy_ev_per_cell": -14.52, "spacegroup": "F-43m", "vol_a3_per_cell": 58}

(9)
{"formula": "TmCuAs", "functional": "PBE", "state": "optimized geometry", "cell": [[-3.562, -2.674, -0.993], [-2.858, -1.314, 3.305], [-4.235, 1.689, 0.160]], "species": ["As", "Tm", "Cu"], "frac_coords": [[0.250, 0.250, 0.250], [0.000, 0.000, 0.000], [0.750, 0.750, 0.750]], "dft_energy_ev_per_cell": -13.86, "spacegroup": "F-43m", "vol_a3_per_cell": 67}

(10)
{"formula": "YTmCu2As4", "functional": "PBE", "state": "optimized geometry", "cell": [[-1.009, 2.210, -3.044], [1.677, -2.556, -2.412], [-8.469, -4.870, -0.728]], "species": ["Tm", "Cu", "Cu", "As", "As", "As", "As", "Y"], "frac_coords": [[0.000, 0.000, 0.763], [0.000, 0.500, 0.502], [0.500, 0.000, 0.502], [0.500, 0.500, 0.664], [0.000, 0.000, 0.340], [0.000, 0.500, 0.997], [0.500, 0.000, 0.997], [0.500, 0.500, 0.236]], "dft_energy_ev_per_cell": -43.46, "spacegroup": "P4mm", "vol_a3_per_cell": 149}

(11)
{"formula": "UCu2As2", "functional": "PBE", "state": "optimized geometry", "cell": [[4.052, 0.000, 0.000], [-2.026, 3.509, 0.000], [0.000, 0.000, 6.558]], "species": ["Cu", "Cu", "U", "As", "As"], "frac_coords": [[0.667, 0.333, 0.364], [0.333, 0.667, 0.636], [0.000, 0.000, 0.000], [0.333, 0.667, 0.255], [0.667, 0.333, 0.745]], "dft_energy_ev_per_cell": -29.87, "spacegroup": "P-3m1", "vol_a3_per_cell": 93}

(12)
{"formula": "Cu2As2W", "functional": "PBE", "state": "optimized geometry", "cell": [[3.857, -1.231, 5.945], [2.105, 3.111, 6.134], [-4.896, -1.760, -4.966]], "species": ["As", "As", "Cu", "Cu", "W"], "frac_coords": [[0.396, 0.396, 0.000], [0.604, 0.604, 0.000], [0.250, 0.750, 0.500], [0.750, 0.250, 0.500], [0.000, 0.000, 0.000]], "dft_energy_ev_per_cell": -28.18, "spacegroup": "I4/mmm", "vol_a3_per_cell": 75}